DFT (SCAN) results for Na2Li5Sn4 at its PBEsol-relaxed geometry.

Summary:
The value obtained for the energy is -15.20 eV per atom. For the mass density, the calculation gives 3.704 g cm⁻³. The calculation puts the size of the total moment at 0.000 μB per atom.

Cell and atoms, written as POSCAR:
```
Na2Li5Sn4
1.0
-4.057 1.270 2.415
-4.248 0.386 -2.390
-7.378 -22.640 4.455
Na Sn Li
4 8 10
direct
0.756 0.756 0.731
0.954 0.954 0.139
0.046 0.046 0.861
0.244 0.244 0.269
0.639 0.639 0.084
0.159 0.159 0.522
0.361 0.361 0.916
0.119 0.119 0.642
0.600 0.600 0.200
0.881 0.881 0.358
0.841 0.841 0.478
0.400 0.400 0.800
0.478 0.478 0.567
0.677 0.677 0.969
0.799 0.799 0.604
0.715 0.715 0.855
0.323 0.323 0.031
0.440 0.440 0.679
0.201 0.201 0.396
0.522 0.522 0.433
0.560 0.560 0.321
0.285 0.285 0.145
```